(1)
# MgTa2P

An optimized crystal structure of MgTa2P (PBE-GGA, the Alexandria database).

Geometry as POSCAR:
```
MgTa2P
1.0
4.551 0.000 0.000
0.000 4.551 0.000
0.000 0.000 3.168
Mg Ta P
1 2 1
Cartesian
0.000 0.000 0.000 Mg
0.000 2.275 1.584 Ta
2.275 0.000 1.584 Ta
2.275 2.275 0.000 P
```

- E_form (eV per atom) = 0.2717
- uncorrected energy (eV per atom) = -7.406
- relative energy among the computed polymorphs (meV per atom) = 370.4
- M_tot (μB per cell) = 0.00

***

(2)
# MnBeSe2

An optimized crystal structure of MnBeSe2 (PBE-GGA, the Alexandria database).

Geometry as POSCAR:
```
MnBeSe2
1.0
3.136 -1.815 0.000
3.136 1.815 0.000
-2.085 0.000 6.076
Mn Be Se
1 1 2
Cartesian
0.000 0.000 0.000 Mn
2.094 0.000 3.038 Be
0.014 0.000 4.394 Se
4.174 0.000 1.682 Se
```

- uncorrected energy (eV per atom) = -5.254
- energy relative to the elements, uncorrected (kcal/mol of atoms) = -6.641
- M_tot (μB per cell) = 4.98

***

(3)
# Rb3Sm3GaSe8

An optimized crystal structure of Rb3Sm3GaSe8 (PBE-GGA, the Alexandria database).

Geometry as POSCAR:
```
Rb3Sm3GaSe8
1.0
7.264 -4.193 0.000
7.264 4.193 0.000
-4.846 0.000 8.239
Rb Sm Ga Se
3 3 1 8
Cartesian
0.000 0.000 0.000 Rb
3.632 2.096 0.000 Rb
3.632 -2.096 0.000 Rb
1.209 2.096 4.120 Sm
1.209 -2.096 4.120 Sm
4.841 0.000 4.120 Sm
-2.423 0.000 4.120 Ga
-0.186 0.000 5.649 Se
3.715 2.244 5.656 Se
5.967 2.244 2.583 Se
2.419 0.000 2.469 Se
7.262 0.000 5.771 Se
3.715 -2.244 5.656 Se
5.967 -2.244 2.583 Se
9.868 0.000 2.590 Se
```

- uncorrected energy (eV per atom) = -4.559
- energy relative to the elements, uncorrected (kcal/mol of atoms) = -31.403
- M_tot (μB per cell) = 0.00

***

(4)
# SnTePd2

An optimized crystal structure of SnTePd2 (PBE-GGA, the Alexandria database).

Geometry as POSCAR:
```
SnTePd2
1.0
8.726 0.000 0.000
0.000 6.771 0.000
-0.808 0.000 5.853
Sn Te Pd
4 4 8
Cartesian
0.635 0.633 1.841 Sn
0.231 2.752 4.768 Sn
7.687 4.019 1.085 Sn
7.283 6.138 4.012 Sn
2.971 3.862 1.597 Te
2.567 6.295 4.524 Te
5.351 0.476 1.329 Te
4.947 2.909 4.256 Te
0.773 4.790 3.012 Pd
1.177 5.367 0.085 Pd
2.854 1.434 0.465 Pd
2.450 1.952 3.391 Pd
5.468 4.820 2.462 Pd
5.064 5.337 5.388 Pd
6.741 1.405 5.768 Pd
7.145 1.981 2.842 Pd
```

- uncorrected energy (eV per atom) = -4.838
- relative energy among the computed polymorphs (meV per atom) = 0.0
- energy relative to the elements, uncorrected (kcal/mol of atoms) = -10.498
- M_tot (μB per cell) = 0.00

***

(5)
# NiTeRhI2

An optimized crystal structure of NiTeRhI2 (PBE-GGA, the Alexandria database).

Geometry as POSCAR:
```
NiTeRhI2
1.0
5.511 0.000 0.000
0.000 5.511 0.000
0.000 0.000 5.068
Ni Te Rh I
1 1 1 2
Cartesian
0.000 0.000 0.000 Ni
2.755 2.755 0.000 Te
2.755 2.755 2.534 Rh
0.000 2.755 2.534 I
2.755 0.000 2.534 I
```

- uncorrected energy (eV per atom) = -3.108
- relative energy among the computed polymorphs (meV per atom) = 0.0
- energy relative to the elements, uncorrected (kcal/mol of atoms) = 17.685
- M_tot (μB per cell) = 1.19

***

(6)
# CsLaMgCu2

An optimized crystal structure of CsLaMgCu2 (PBE-GGA, the Alexandria database).

Geometry as POSCAR:
```
CsLaMgCu2
1.0
5.404 0.000 0.000
0.000 5.404 0.000
0.000 0.000 6.530
Cs La Mg Cu
1 1 1 2
Cartesian
0.000 0.000 0.000 Cs
0.000 0.000 3.265 La
2.702 2.702 0.000 Mg
0.000 2.702 3.265 Cu
2.702 0.000 3.265 Cu
```

- E_form (eV per atom) = 0.9565
- uncorrected energy (eV per atom) = -2.157
- M_tot (μB per cell) = 0.00

***

(7)
# ZrBe2Pt

An optimized crystal structure of ZrBe2Pt (PBE-GGA, the Alexandria database).

Geometry as POSCAR:
```
ZrBe2Pt
1.0
1.953 1.127 4.454
-1.953 1.127 4.454
0.000 -2.255 4.454
Zr Be Pt
1 2 1
Cartesian
0.000 0.000 0.000 Zr
0.000 0.000 6.681 Be
0.000 0.000 10.659 Be
0.000 0.000 2.777 Pt
```

- E_form (eV per atom) = -0.4759
- uncorrected energy (eV per atom) = -5.986
- relative energy among the computed polymorphs (meV per atom) = 122.7
- M_tot (μB per cell) = 0.00

***

(8)
# HfGe2Rh4

An optimized crystal structure of HfGe2Rh4 (PBE-GGA, the Alexandria database).

Geometry as POSCAR:
```
HfGe2Rh4
1.0
0.000 4.183 4.892
2.684 0.000 4.892
2.684 4.183 0.000
Hf Ge Rh
1 2 4
Cartesian
0.000 0.000 0.000 Hf
2.684 4.183 3.020 Ge
2.684 4.183 6.763 Ge
1.342 2.092 2.446 Rh
2.684 2.644 4.892 Rh
2.684 5.722 4.892 Rh
4.025 6.275 7.338 Rh
```

- E_form (eV per atom) = -0.5100
- uncorrected energy (eV per atom) = -7.452
- relative energy among the computed polymorphs (meV per atom) = 0.0
- M_tot (μB per cell) = 0.00